{"formula": "MnTl2Pd", "functional": "GGA-PBE", "state": "optimized geometry", "e_above_lowest_polymorph_mev_per_atom": 0, "sg": "Fm-3m, No. 225", "energy_ev_per_atom": -4.567, "delta_e_f_mev_per_atom": 207, "magmom_total_mub_per_fu": 3.8, "cell": [[0.000, 3.409, 3.409], [3.409, 0.000, 3.409], [3.409, 3.409, 0.000]], "species": ["Mn", "Tl", "Tl", "Pd"], "frac_coords": [[0.000, 0.000, 0.000], [0.250, 0.250, 0.250], [0.750, 0.750, 0.750], [0.500, 0.500, 0.500]]}